Below is a relaxed PrErCd crystal, with properties calculated at the PBE level.

Lattice parameters (Å, degrees): 9.2014 6.4648 6.4193 86.67 69.90 83.56
With the nearest neighbours (Å) after each atom.
Positions (direct):
Er  0.4365  0.4186  0.1287  2 Cd 3.18-3.30, 3 Er 3.26-3.43, 3 Pr 3.29-3.43
Pr  0.4933  0.7324  0.6628  5 Cd 3.26-3.46, 4 Er 3.40-3.59
Cd  0.1878  0.7201  0.5181  5 Er 3.12-3.39, 1 Cd 3.22, 3 Pr 3.24-3.41
Er  0.5039  0.9137  0.1428  3 Cd 3.23-3.51, 3 Er 3.26-3.47, 2 Pr 3.40-3.45
Cd  0.6031  0.2200  0.6538  2 Cd 2.94-3.19, 2 Er 3.10-3.18
Pr  0.7911  0.4278  0.1368  5 Cd 3.25-3.50, 2 Er 3.29-3.54, 1 Pr 3.55
Cd  0.8660  0.5192  0.6091  3 Cd 3.19-3.33, 1 Er 3.22, 4 Pr 3.23-3.46
Er  0.1146  0.7049  0.0713  3 Cd 3.04-3.38
Pr  0.2294  0.2527  0.7164  2 Cd 3.24-3.31, 2 Pr 3.41-3.42
Pr  0.1110  0.1841  0.2779  3 Cd 3.23-3.43, 4 Er 3.33-3.55, 3 Pr 3.41-3.55
Er  0.8742  0.9760  0.7753  5 Cd 3.10-3.36, 1 Er 3.47
Cd  0.7965  0.9305  0.3071  1 Cd 2.94, 3 Er 3.04-3.24, 1 Pr 3.27

Values from the calculation:
Polymorph energy (0 for the lowest one) = 100 meV per atom
ΔH_f (0 K) = -2.1 kcal/mol of atoms